[1]
DFT (meta-GGA SCAN) results for a crystal of Y4CrAu relaxed with PBEsol.

Cell lengths 8.509, 8.509, 8.509 Å; angles 90.00, 90.00, 90.00 degrees
Space group F-43m (No. 216)
One atom of each set of equivalent atoms:
Y1 0.125 0.125 0.125 x16
Cr1 0.250 0.250 0.750 x4
Au1 0.000 0.000 0.500 x4

[2]
DFT (meta-GGA SCAN) results for a crystal of Zn2CrAu relaxed with PBEsol.

Cell lengths 3.120, 3.120, 6.033 Å; angles 90.00, 90.00, 90.00 degrees
Space group P4mm (No. 99)
One atom of each set of equivalent atoms:
Zn1 0.000 0.000 0.000 x1
Zn2 0.500 0.500 0.240 x1
Cr1 0.500 0.500 0.764 x1
Au1 0.000 0.000 0.494 x1

[3]
DFT (meta-GGA SCAN) results for a crystal of ZnCrAu relaxed with PBEsol.

Cell lengths 6.000, 6.000, 6.000 Å; angles 90.00, 90.00, 90.00 degrees
Space group F-43m (No. 216)
One atom of each set of equivalent atoms:
Zn1 0.000 0.000 0.000 x4
Cr1 0.250 0.250 0.750 x4
Au1 0.000 0.000 0.500 x4

[4]
DFT (meta-GGA SCAN) results for a crystal of ZrCrAu2 relaxed with PBEsol.

Cell lengths 2.9753, 2.9753, 27.1956 Å; angles 90.00, 90.00, 120.00 degrees
Space group R3m (No. 160, hexagonal axes)
One atom of each set of equivalent atoms:
Zr1 0.0000 0.0000 0.0000 x3
Cr1 0.0000 0.0000 0.2508 x3
Au1 0.0000 0.0000 0.5064 x3
Au2 0.0000 0.0000 0.7533 x3

[5]
DFT (meta-GGA SCAN) results for a crystal of ZrCrAu3 relaxed with PBEsol.

Cell lengths 5.074, 5.074, 5.074 Å; angles 90.00, 90.00, 90.00 degrees
Space group Pm-3m (No. 221)
One atom of each set of equivalent atoms:
Zr1 0.000 0.000 0.000 x1
Cr1 0.500 0.500 0.500 x1
Au1 0.000 0.000 0.500 x3

[6]
DFT (meta-GGA SCAN) results for a crystal of ZrCr2Au relaxed with PBEsol.

Cell lengths 9.481, 3.171, 4.682 Å; angles 90.00, 113.39, 90.00 degrees
Space group C2/m (No. 12)
One atom of each set of equivalent atoms:
Zr1 0.000 0.000 0.000 x2
Cr1 0.250 0.000 0.666 x4
Au1 0.000 0.500 0.500 x2

| no. | final energy (eV per atom) | total magnetization (μB/f.u.) |
| --- | --- | --- |
| 1 | -32.6624 | 3.53 |
| 2 | -28.7233 | 3.76 |
| 3 | -33.5038 | 4.10 |
| 4 | -46.8213 | 4.08 |
| 5 | -50.6150 | 5.52 |
| 6 | -33.9228 | 0.00 |